## BeTcBW (PBE-GGA)

Data for a relaxed BeTcBW crystal.

a = 4.065 Å, b = 4.065 Å, c = 4.065 Å
α = 60.00°, β = 60.00°, γ = 60.00°
Element x y z (fractional)
Tc1 0.500 0.500 0.500
B1 0.000 0.000 0.000
W1 0.250 0.250 0.250
Be1 0.750 0.750 0.750

As for the total energy: -7.9738 eV per atom. As for the crystal system: cubic.



## AcOsO3 (PBE-GGA)

Data for a relaxed AcOsO3 crystal.

a = 5.869 Å, b = 5.869 Å, c = 5.959 Å
α = 60.50°, β = 60.50°, γ = 60.00°
Element x y z (fractional)
O1 0.806 0.051 0.706
O2 0.194 0.949 0.294
O3 0.051 0.437 0.706
O4 0.949 0.563 0.294
O5 0.437 0.806 0.706
O6 0.563 0.194 0.294
Os1 0.836 0.836 0.491
Os2 0.164 0.164 0.509
Ac1 0.369 0.369 0.894
Ac2 0.631 0.631 0.106

As for the total energy: -7.6828 eV per atom. As for the crystal system: trigonal.



## Na2Ga3Au4 (PBE-GGA)

Data for a relaxed Na2Ga3Au4 crystal.

a = 8.371 Å, b = 8.371 Å, c = 7.575 Å
α = 90.00°, β = 90.00°, γ = 137.83°
Element x y z (fractional)
Au1 0.816 0.684 0.750
Au2 0.184 0.316 0.250
Au3 0.323 0.677 0.976
Au4 0.677 0.323 0.024
Au5 0.177 0.823 0.476
Au6 0.823 0.177 0.524
Au7 0.684 0.816 0.250
Au8 0.316 0.184 0.750
Na1 0.902 0.098 0.902
Na2 0.098 0.902 0.098
Na3 0.598 0.402 0.402
Na4 0.402 0.598 0.598
Ga1 0.012 0.488 0.250
Ga2 0.488 0.012 0.750
Ga3 0.512 0.988 0.250
Ga4 0.000 0.000 0.500
Ga5 0.500 0.500 0.000
Ga6 0.988 0.512 0.750

As for the total energy: -3.0834 eV per atom. As for the crystal system: orthorhombic.



## YTlFeNi (PBE-GGA)

Data for a relaxed YTlFeNi crystal.

a = 4.678 Å, b = 4.678 Å, c = 4.678 Å
α = 60.00°, β = 60.00°, γ = 60.00°
Element x y z (fractional)
Y1 0.500 0.500 0.500
Fe1 0.750 0.750 0.750
Ni1 0.250 0.250 0.250
Tl1 0.000 0.000 0.000

As for the total energy: -5.5795 eV per atom. As for the crystal system: cubic.



## ErUC2 (PBE-GGA)

Data for a relaxed ErUC2 crystal.

a = 3.565 Å, b = 3.565 Å, c = 6.000 Å
α = 107.27°, β = 107.27°, γ = 60.00°
Element x y z (fractional)
Er1 0.500 0.500 0.000
U1 0.000 0.000 0.500
C1 0.739 0.739 0.716
C2 0.261 0.261 0.284

As for the total energy: -8.8758 eV per atom. As for the crystal system: trigonal.



## DyAlTlTe3 (PBE-GGA)

Data for a relaxed DyAlTlTe3 crystal.

a = 7.988 Å, b = 7.988 Å, c = 11.462 Å
α = 90.00°, β = 90.00°, γ = 147.50°
Element x y z (fractional)
Tl1 0.736 0.264 0.750
Tl2 0.264 0.736 0.250
Al1 0.031 0.969 0.750
Al2 0.969 0.031 0.250
Te1 0.424 0.576 0.750
Te2 0.865 0.135 0.060
Te3 0.576 0.424 0.250
Te4 0.135 0.865 0.560
Te5 0.865 0.135 0.440
Te6 0.135 0.865 0.940
Dy1 0.500 0.500 0.500
Dy2 0.500 0.500 0.000

As for the total energy: -4.0437 eV per atom. As for the crystal system: orthorhombic.